1.
First-principles (PBE) data for a relaxed structure of K2HBrF6, as listed in Alexandria.

Output
- E (eV/atom) = -3.6528

a b c (Å): 5.344 5.787 6.028
angles (deg): 109.04 104.52 95.47
Atoms (fractional coordinates):
K  0.000  0.000  0.000
K  0.417  0.541  0.979
H  0.967  0.613  0.342
Br  0.697  0.271  0.498
F  0.013  0.168  0.638
F  0.388  0.388  0.372
F  0.499  0.970  0.451
F  0.503  0.981  0.980
F  0.935  0.608  0.563
F  0.959  0.599  0.168


2.
First-principles (PBE) data for a relaxed structure of K4HBr2F, as listed in Alexandria.

Output
- E (eV/atom) = -3.1799

a b c (Å): 7.483 4.323 7.622
angles (deg): 90.00 109.02 90.00
Atoms (fractional coordinates):
K  0.231  0.000  0.209
K  0.256  0.500  0.789
K  0.744  0.500  0.211
K  0.769  0.000  0.791
H  0.500  0.000  0.000
Br  0.000  0.000  0.500
Br  0.500  0.500  0.500
F  0.000  0.500  0.000


3.
First-principles (PBE) data for a relaxed structure of K4H2BrF, as listed in Alexandria.

Output
- E (eV/atom) = -2.9972

a b c (Å): 8.418 8.418 8.383
angles (deg): 119.86 119.86 90.19
Atoms (fractional coordinates):
K  0.212  0.234  0.473
K  0.234  0.212  0.973
K  0.237  0.762  0.505
K  0.238  0.763  0.995
K  0.762  0.237  0.005
K  0.763  0.238  0.495
K  0.766  0.788  0.027
K  0.788  0.766  0.527
H  0.000  0.000  0.000
H  0.000  0.000  0.500
H  0.000  0.500  0.000
H  0.500  0.000  0.500
Br  0.500  0.500  0.000
Br  0.500  0.500  0.500
F  0.000  0.500  0.500
F  0.500  0.000  0.000


4.
First-principles (PBE) data for a relaxed structure of K4HBrF2, as listed in Alexandria.

Output
- E (eV/atom) = -3.4395

a b c (Å): 7.144 4.119 7.261
angles (deg): 90.00 109.34 90.00
Atoms (fractional coordinates):
K  0.226  0.000  0.208
K  0.241  0.500  0.772
K  0.759  0.500  0.228
K  0.774  0.000  0.792
H  0.000  0.000  0.500
Br  0.500  0.500  0.500
F  0.000  0.500  0.000
F  0.500  0.000  0.000


5.
First-principles (PBE) data for a relaxed structure of K8H3Br4F, as listed in Alexandria.

Output
- E (eV/atom) = -2.9667

a b c (Å): 8.736 8.736 8.828
angles (deg): 119.65 119.65 59.96
Atoms (fractional coordinates):
K  0.235  0.235  0.713
K  0.235  0.744  0.713
K  0.256  0.765  0.287
K  0.261  0.261  0.284
K  0.739  0.739  0.716
K  0.744  0.235  0.713
K  0.765  0.256  0.287
K  0.765  0.765  0.287
H  0.000  0.500  0.500
H  0.500  0.000  0.500
H  0.500  0.500  0.500
Br  0.000  0.000  0.000
Br  0.000  0.500  0.000
Br  0.500  0.000  0.000
Br  0.500  0.500  0.000
F  0.000  0.000  0.500


6.
First-principles (PBE) data for a relaxed structure of KHBr2F8, as listed in Alexandria.

Output
- E (eV/atom) = -3.0462

a b c (Å): 4.555 4.555 9.515
angles (deg): 96.89 96.89 79.24
Atoms (fractional coordinates):
K  0.000  0.000  0.000
H  0.500  0.500  0.500
Br  0.325  0.325  0.730
Br  0.675  0.675  0.270
F  0.172  0.678  0.256
F  0.322  0.828  0.744
F  0.338  0.338  0.926
F  0.340  0.340  0.517
F  0.660  0.660  0.483
F  0.662  0.662  0.074
F  0.678  0.172  0.256
F  0.828  0.322  0.744


7.
First-principles (PBE) data for a relaxed structure of KH2BrF2, as listed in Alexandria.

Output
- E (eV/atom) = -3.8539

a b c (Å): 5.686 6.185 6.597
angles (deg): 106.76 96.34 98.84
Atoms (fractional coordinates):
K  0.243  0.179  0.316
K  0.757  0.821  0.684
H  0.169  0.348  0.788
H  0.329  0.662  0.213
H  0.671  0.338  0.787
H  0.831  0.652  0.212
Br  0.264  0.697  0.917
Br  0.736  0.303  0.083
F  0.133  0.182  0.709
F  0.351  0.652  0.361
F  0.649  0.348  0.639
F  0.867  0.818  0.291


8.
First-principles (PBE) data for a relaxed structure of KH2BrF8, as listed in Alexandria.

Output
- E (eV/atom) = -3.5469

a b c (Å): 4.967 4.986 7.680
angles (deg): 91.58 97.71 109.79
Atoms (fractional coordinates):
K  0.000  0.000  0.000
H  0.311  0.558  0.803
H  0.689  0.442  0.197
Br  0.000  0.000  0.500
F  0.209  0.225  0.335
F  0.232  0.775  0.507
F  0.257  0.246  0.701
F  0.336  0.685  0.906
F  0.664  0.315  0.094
F  0.743  0.754  0.299
F  0.768  0.225  0.493
F  0.791  0.775  0.665


9.
First-principles (PBE) data for a relaxed structure of LiH2BrF, as listed in Alexandria.

Output
- energy relative to the lowest polymorph listed for this composition (meV per atom) = 181
- E (eV/atom) = -3.3394

a b c (Å): 3.561 4.210 5.926
angles (deg): 89.64 89.80 67.77
Atoms (fractional coordinates):
Li  0.000  0.000  0.000
H  0.410  0.931  0.483
H  0.599  0.720  0.484
Br  0.995  0.319  0.511
F  0.531  0.933  0.007


10.
First-principles (PBE) data for a relaxed structure of LiH2BrF, as listed in Alexandria.

Output
- energy relative to the lowest polymorph listed for this composition (meV per atom) = 0
- E (eV/atom) = -3.5208

a b c (Å): 2.802 2.809 9.716
angles (deg): 95.30 94.95 90.22
Atoms (fractional coordinates):
Li  0.000  0.000  0.000
H  0.700  0.671  0.736
H  0.851  0.820  0.695
Br  0.121  0.114  0.361
F  0.499  0.500  0.000


11.
First-principles (PBE) data for a relaxed structure of LiH2BrF, as listed in Alexandria.

Output
- energy relative to the lowest polymorph listed for this composition (meV per atom) = 206
- E (eV/atom) = -3.3148

a b c (Å): 3.699 3.938 4.926
angles (deg): 89.70 89.68 68.84
Atoms (fractional coordinates):
Li  0.000  0.000  0.000
H  0.497  0.003  0.391
H  0.497  0.004  0.604
Br  0.998  0.504  0.630
F  0.498  0.003  0.156


12.
First-principles (PBE) data for a relaxed structure of LiH2BrF, as listed in Alexandria.

Output
- energy relative to the lowest polymorph listed for this composition (meV per atom) = 200
- E (eV/atom) = -3.3207

a b c (Å): 3.737 4.288 5.685
angles (deg): 71.53 79.29 89.55
Atoms (fractional coordinates):
Li  0.000  0.000  0.000
H  0.540  0.084  0.874
H  0.802  0.784  0.518
Br  0.537  0.577  0.883
F  0.959  0.893  0.352